! TbGdErHg, optimized geometry, DFT GGA-PBE; values from VASP
! DOS at the Fermi energy: 5.12 states/eV/f.u.
! total energy: -23.9 eV for the cell shown
! space-group type: F-43m
! energy of formation: -0.071 eV per atom
! total magnetic moment: 7.846 μB/cell
&SYSTEM
  ibrav = 0, nat = 4, ntyp = 4
/
ATOMIC_SPECIES
Tb 158.93 Tb.upf
Gd 157.25 Gd.upf
Er 167.26 Er.upf
Hg 200.59 Hg.upf
ATOMIC_POSITIONS crystal
Tb 0.0000 0.0000 0.0000
Gd 0.5000 0.5000 0.5000
Er 0.2500 0.2500 0.2500
Hg 0.7500 0.7500 0.7500
CELL_PARAMETERS angstrom
0.0000 3.8268 3.8268
3.8268 0.0000 3.8268
3.8268 3.8268 0.0000